No. 1
GGA-PBE Tl2PtI4, relaxed; E_tot = -2.86 eV/atom; E_form (uncorrected) = -3.02 eV/f.u.; spin magnetization = 0.000 μB per formula unit; crystal system = tetragonal
1.0
8.0433 0.0070 -0.0031
-0.0038 8.0433 0.0031
-4.0180 -4.0270 4.6112
Tl Pt I
2 1 4
Direct
0.7500 0.2499 0.5000 Tl
0.2501 0.7500 0.5000 Tl
0.0000 0.0000 0.0000 Pt
0.7685 0.2315 0.0000 I
0.2314 0.7685 0.0000 I
0.2314 0.2314 0.0000 I
0.7686 0.7686 0.0000 I

No. 2
GGA-PBE BaHoIn, relaxed; E_tot = -3.39 eV/atom; spin magnetization = 0.001 μB per formula unit; excess energy over the best structure of this formula in the dataset = 0 meV per atom; crystal system = tetragonal
1.0
-3.2848 3.3814 -2.2757
-3.8378 -3.5502 0.2643
-2.1887 2.9247 7.5049
Ba Ho In
2 2 2
Direct
0.0000 0.5000 0.8571 Ba
0.5000 0.0000 0.1429 Ba
0.5000 0.5000 0.5000 Ho
0.0000 0.0000 0.5000 Ho
0.0000 0.5000 0.2860 In
0.5000 0.0000 0.7140 In